NiPbSe2O6: optimized geometry, GGA+U.

Geometry as POSCAR:
```
NiPbSe2O6
1.0
-2.326 -2.696 4.060
-0.075 -5.399 -0.037
4.262 -2.788 4.181
O Pb Se Ni
6 1 2 1
Direct
0.729 0.081 0.706
0.484 0.729 0.706
0.516 0.271 0.294
0.919 0.516 0.294
0.081 0.484 0.706
0.271 0.919 0.294
0.000 0.000 0.000
0.728 0.728 0.816
0.272 0.272 0.184
0.500 0.500 0.500
```

Summary:
E_tot in eV/atom: -5.130